A plane-wave DFT calculation with PBE was carried out for RbCeGeO5 after structural relaxation.

The calculation puts the uncorrected formation energy at -16.82 eV per formula unit.

The structure belongs to space group C2/c (No. 15); the cell edges are 7.6050, 10.1637 and 8.2097 Å and the angles 90.00°, 114.42° and 90.00°. The asymmetric unit holds Rb at (0.0000, 0.1693, 0.2500), Ce at (0.0000, 0.5000, 0.0000), Ge at (0.0000, 0.1890, 0.7500), O at (0.0000, 0.4460, 0.2500), O at (0.0769, 0.2903, 0.6145) and O at (0.1895, 0.0822, 0.8870).

---

A plane-wave DFT calculation with PBE was carried out for ZrBi after structural relaxation.

As for the formation energy: 0.570 eV/atom.

The structure belongs to space group Pm-3n (No. 223); the cell edges are 8.2613, 8.2613 and 8.2613 Å and the angles 90.00°, 90.00° and 90.00°. The asymmetric unit holds Zr at (0.0000, 0.2500, 0.5000) and Bi at (0.0000, 0.5000, 0.2500).

---

A plane-wave DFT calculation with PBE was carried out for GdMgRh after structural relaxation.

As for the formation energy: -0.487 eV/atom.

The structure belongs to space group I4mm (No. 107); the cell edges are 3.3399, 3.3399 and 11.5864 Å and the angles 90.00°, 90.00° and 90.00°. The asymmetric unit holds Gd at (0.0000, 0.0000, 0.0000), Mg at (0.0000, 0.0000, 0.7262) and Rh at (0.0000, 0.0000, 0.3546).

---

A plane-wave DFT calculation with PBE was carried out for FeCo2SnRh after structural relaxation.

As for the formation energy: 1.516 eV/atom.

The structure belongs to space group P4/mmm (No. 123); the cell edges are 4.5955, 4.5955 and 4.8115 Å and the angles 90.00°, 90.00° and 90.00°. The asymmetric unit holds Fe at (0.0000, 0.0000, 0.0000), Co at (0.0000, 0.5000, 0.5000), Sn at (0.5000, 0.5000, 0.5000) and Rh at (0.5000, 0.5000, 0.0000).

---

A plane-wave DFT calculation with PBE was carried out for CsInI3 after structural relaxation.

The calculation puts the uncorrected formation energy at -1.43 eV per formula unit.

The structure belongs to space group Pm-3m (No. 221); the cell edges are 7.1106, 7.1106 and 7.1106 Å and the angles 90.00°, 90.00° and 90.00°. The asymmetric unit holds Cs at (0.0000, 0.0000, 0.0000), In at (0.5000, 0.5000, 0.5000) and I at (0.0000, 0.0000, 0.5000).

---

A plane-wave DFT calculation with PBE was carried out for Li4YTc after structural relaxation.

As for the formation energy: 0.308 eV/atom.

The structure belongs to space group F-43m (No. 216); the cell edges are 7.3604, 7.3604 and 7.3604 Å and the angles 90.00°, 90.00° and 90.00°. The asymmetric unit holds Li at (0.1208, 0.1208, 0.1208), Y at (0.0000, 0.0000, 0.5000) and Tc at (0.2500, 0.2500, 0.7500).